A plane-wave DFT calculation with PBE was carried out for an optimized crystal structure of TbTh2ScBi4.

a = 4.514 Å, b = 7.811 Å, c = 7.737 Å
α = 109.76°, β = 90.00°, γ = 90.00°
Fractional coordinates of all 8 atoms:
Tb1 0.000 0.000 0.000
Th1 0.500 0.000 0.500
Th2 0.000 0.500 0.500
Sc1 0.500 0.500 0.000
Bi1 0.500 0.252 0.236
Bi2 0.500 0.748 0.764
Bi3 0.000 0.263 0.769
Bi4 0.000 0.737 0.231

Computed properties:
The formation energy comes out at -0.66 eV/atom.



A plane-wave DFT calculation with PBE was carried out for an optimized crystal structure of CsSi3Cl12.

a = 8.932 Å, b = 13.305 Å, c = 13.305 Å
α = 120.00°, β = 90.00°, γ = 90.00°
Fractional coordinates of all 32 atoms:
Cs1 0.750 0.667 0.333
Cs2 0.250 0.333 0.667
Si1 0.250 0.905 0.610
Si2 0.250 0.706 0.095
Si3 0.250 0.390 0.294
Si4 0.750 0.610 0.706
Si5 0.750 0.294 0.905
Si6 0.750 0.095 0.390
Cl1 0.250 0.009 0.788
Cl2 0.750 0.993 0.468
Cl3 0.443 0.801 0.559
Cl4 0.057 0.801 0.559
Cl5 0.750 0.532 0.525
Cl6 0.057 0.757 0.199
Cl7 0.443 0.757 0.199
Cl8 0.250 0.779 0.991
Cl9 0.443 0.441 0.243
Cl10 0.057 0.441 0.243
Cl11 0.750 0.788 0.779
Cl12 0.250 0.525 0.993
Cl13 0.750 0.475 0.007
Cl14 0.250 0.212 0.221
Cl15 0.943 0.559 0.757
Cl16 0.557 0.559 0.757
Cl17 0.750 0.221 0.009
Cl18 0.557 0.243 0.801
Cl19 0.943 0.243 0.801
Cl20 0.250 0.468 0.475
Cl21 0.557 0.199 0.441
Cl22 0.943 0.199 0.441
Cl23 0.250 0.007 0.532
Cl24 0.750 0.991 0.212

Computed properties:
For the uncorrected formation energy, the calculation gives -1.175 eV per atom.